# 1
ErBiTe3 | the Alexandria database | GGA-PBE | relaxed; calculated density = 6.8 g cm⁻³; space group = P2_1/m (11); raw formation energy = -793 meV/atom; raw total energy = -4.37 eV/atom
1.0
7.5968 0.0000 0.0000
0.0000 4.3814 0.0000
-2.3714 0.0000 11.1041
Er Bi Te
2 2 6
Cartesian
0.6010 1.0954 5.4494
4.6244 3.2861 5.6547
0.7307 1.0954 9.4505
4.4947 3.2861 1.6536
-0.5769 3.2861 3.7184
1.8420 3.2861 0.0476
1.9554 3.2861 7.2101
3.2700 1.0954 3.8940
3.3834 1.0954 11.0565
5.8024 1.0954 7.3857



# 2
ErBiTe | the Alexandria database | GGA-PBE | relaxed; calculated density = 9.4 g cm⁻³; density of states at the Fermi level = 0.411 states/eV/atom; space group = I4/mmm (139); raw formation energy = -920 meV/atom; raw total energy = -4.78 eV/atom
1.0
4.3768 0.0000 0.0000
0.0000 4.3768 0.0000
0.0000 0.0000 18.6833
Er Bi Te
4 4 4
Cartesian
0.0000 0.0000 2.6919
0.0000 0.0000 15.9914
2.1884 2.1884 6.6498
2.1884 2.1884 12.0336
0.0000 2.1884 0.0000
0.0000 2.1884 9.3417
2.1884 0.0000 0.0000
2.1884 0.0000 9.3417
0.0000 0.0000 5.8243
0.0000 0.0000 12.8590
2.1884 2.1884 3.5173
2.1884 2.1884 15.1660



# 3
Er2BiTe | the Alexandria database | GGA-PBE | relaxed; calculated density = 9.3 g cm⁻³; density of states at the Fermi level = 0.481 states/eV/atom; space group = R-3m (166); raw formation energy = -1031 meV/atom; raw total energy = -5.07 eV/atom
1.0
4.3948 0.0000 0.0000
-2.1974 3.8060 0.0000
0.0000 0.0000 21.3787
Er Bi Te
6 3 3
Cartesian
0.0000 0.0000 5.3484
0.0000 0.0000 16.0304
0.0000 2.5373 8.9041
0.0000 2.5373 19.6008
2.1974 1.2687 1.7779
2.1974 1.2687 12.4746
0.0000 0.0000 0.0000
0.0000 2.5373 14.2525
2.1974 1.2687 7.1262
0.0000 0.0000 10.6894
0.0000 2.5373 3.5631
2.1974 1.2687 17.8156